Entry 1:
# TlPtCl

An optimized crystal structure of TlPtCl (PBE, the Alexandria database).

The space group is P3m1 (No. 156) and the conventional cell measures 4.1006, 4.1006 and 5.1737 Å, with angles of 90.00, 90.00 and 120.00 degrees. The distinct sites, in fractional coordinates, are Tl at (0.0000, 0.0000, 0.0000), Pt at (0.3333, 0.6667, 0.7598) and Cl at (0.6667, 0.3333, 0.4847).

The total energy comes out at -3.4282 eV/atom. The total magnetization is 0.000 μB per atom. The value obtained for the offset from the most stable computed form is 0 kJ/mol of formula units. Its formation energy without anion corrections is -10 meV/atom.



Entry 2:
# Ce3Y2HoTe6

An optimized crystal structure of Ce3Y2HoTe6 (PBE, the Alexandria database).

The space group is C2/m (No. 12) and the conventional cell measures 7.587, 13.166 and 7.775 Å, with angles of 90.00, 109.03 and 90.00 degrees. The distinct sites, in fractional coordinates, are Ce at (0.000, 0.000, 0.000), Ce at (0.000, 0.332, 0.000), Y at (0.000, 0.166, 0.500), Ho at (0.000, 0.500, 0.500), Te at (0.245, 0.334, 0.738) and Te at (0.248, 0.000, 0.739).

The total energy comes out at -5.8549 eV/atom. The total magnetization is 0.298 μB per atom. Its formation energy without anion corrections is -1342 meV/atom.